(1)
Here is a relaxed structure of PrSc3B4O12 from the Open Quantum Materials Database. Energies are from PBE-GGA.

Results
* crystal system: monoclinic
* total DFT energy (no corrections): -8.528 eV/atom
* total moment: 0.001 μB/f.u.

Geometry as CIF:
```
data_PrSc3B4O12
_chemical_formula_sum 'Pr4 Sc12 B16 O48'
_cell_length_a 7.693
_cell_length_b 9.859
_cell_length_c 11.967
_cell_angle_alpha 90.00
_cell_angle_beta 104.82
_cell_angle_gamma 90.00
_space_group_name_H-M_alt 'C 1 2/c 1'
_space_group_IT_number 15
loop_
_space_group_symop_operation_xyz
'x,y,z'
'-x,-y,-z'
'-x,y,-z+1/2'
'x,-y,z+1/2'
'x+1/2,y+1/2,z'
'-x+1/2,-y+1/2,-z'
'-x+1/2,y+1/2,-z+1/2'
'x+1/2,-y+1/2,z+1/2'
loop_
_atom_site_label
_atom_site_type_symbol
_atom_site_fract_x
_atom_site_fract_y
_atom_site_fract_z
_atom_site_occupancy
Pr1 Pr 0.000 0.035 0.250 1
Sc1 Sc 0.000 0.426 0.750 1
Sc2 Sc 0.048 0.250 0.525 1
B1 B 0.202 0.304 0.226 1
B2 B 0.245 0.024 0.000 1
O1 O 0.069 0.235 0.148 1
O2 O 0.097 0.090 0.931 1
O3 O 0.112 0.405 0.932 1
O4 O 0.161 0.272 0.705 1
O5 O 0.204 0.442 0.240 1
O6 O 0.247 0.115 0.495 1
```



(2)
Here is a relaxed structure of BPt2O3 from the Open Quantum Materials Database. Energies are from PBE-GGA.

Results
* crystal system: monoclinic
* total DFT energy (no corrections): -6.192 eV/atom
* total moment: 0.003 μB/f.u.

Geometry as CIF:
```
data_BPt2O3
_chemical_formula_sum 'B1 Pt2 O3'
_cell_length_a 4.253
_cell_length_b 3.097
_cell_length_c 5.110
_cell_angle_alpha 90.00
_cell_angle_beta 96.96
_cell_angle_gamma 90.00
_space_group_name_H-M_alt 'P 1 m 1'
_space_group_IT_number 6
loop_
_space_group_symop_operation_xyz
'x,y,z'
'x,-y,z'
loop_
_atom_site_label
_atom_site_type_symbol
_atom_site_fract_x
_atom_site_fract_y
_atom_site_fract_z
_atom_site_occupancy
B1 B 0.000 0.000 0.000 1
Pt1 Pt 0.332 0.500 0.933 1
Pt2 Pt 0.881 0.000 0.400 1
O1 O 0.146 0.500 0.554 1
O2 O 0.595 0.500 0.283 1
O3 O 0.729 0.000 0.832 1
```



(3)
Here is a relaxed structure of B3Pt2O from the Open Quantum Materials Database. Energies are from PBE-GGA.

Results
* crystal system: monoclinic
* total DFT energy (no corrections): -6.388 eV/atom
* total moment: 0.001 μB/f.u.

Geometry as CIF:
```
data_B3Pt2O
_chemical_formula_sum 'B3 Pt2 O1'
_cell_length_a 4.442
_cell_length_b 3.071
_cell_length_c 4.822
_cell_angle_alpha 90.00
_cell_angle_beta 100.93
_cell_angle_gamma 90.00
_space_group_name_H-M_alt 'P 1 m 1'
_space_group_IT_number 6
loop_
_space_group_symop_operation_xyz
'x,y,z'
'x,-y,z'
loop_
_atom_site_label
_atom_site_type_symbol
_atom_site_fract_x
_atom_site_fract_y
_atom_site_fract_z
_atom_site_occupancy
B1 B 0.000 0.000 0.000 1
B2 B 0.183 0.500 0.288 1
B3 B 0.567 0.500 0.305 1
Pt1 Pt 0.309 0.500 0.890 1
Pt2 Pt 0.904 0.000 0.436 1
O1 O 0.719 0.000 0.813 1
```



(4)
Here is a relaxed structure of Rb3Ta3B2O12 from the Open Quantum Materials Database. Energies are from PBE-GGA.

Results
* crystal system: hexagonal
* total DFT energy (no corrections): -8.175 eV/atom
* total moment: 0.001 μB/f.u.

Geometry as CIF:
```
data_Rb3Ta3B2O12
_chemical_formula_sum 'Rb3 Ta3 B2 O12'
_cell_length_a 8.8594
_cell_length_b 8.8594
_cell_length_c 3.9332
_cell_angle_alpha 90.00
_cell_angle_beta 90.00
_cell_angle_gamma 120.00
_space_group_name_H-M_alt 'P -6 2 m'
_space_group_IT_number 189
_space_group_name_Hall 'P -6 -2'
loop_
_atom_site_label
_atom_site_type_symbol
_atom_site_fract_x
_atom_site_fract_y
_atom_site_fract_z
_atom_site_occupancy
Rb1 Rb 0.0000 0.4042 0.0000 1
Ta1 Ta 0.0000 0.7539 0.5000 1
B1 B 0.3333 0.6667 0.5000 1
O1 O 0.0000 0.1768 0.5000 1
O2 O 0.0000 0.7384 0.0000 1
O3 O 0.1909 0.6895 0.5000 1
```



(5)
Here is a relaxed structure of Rb3ZnB5O10 from the Open Quantum Materials Database. Energies are from PBE-GGA.

Results
* crystal system: monoclinic
* total DFT energy (no corrections): -6.847 eV/atom

Geometry as CIF:
```
data_Rb3ZnB5O10
_chemical_formula_sum 'Rb12 Zn4 B20 O40'
_cell_length_a 10.379
_cell_length_b 9.303
_cell_length_c 13.254
_cell_angle_alpha 90.00
_cell_angle_beta 122.73
_cell_angle_gamma 90.00
_space_group_name_H-M_alt 'P 1 21/c 1'
_space_group_IT_number 14
loop_
_space_group_symop_operation_xyz
'x,y,z'
'-x,-y,-z'
'-x,y+1/2,-z+1/2'
'x,-y+1/2,z+1/2'
loop_
_atom_site_label
_atom_site_type_symbol
_atom_site_fract_x
_atom_site_fract_y
_atom_site_fract_z
_atom_site_occupancy
Rb1 Rb 0.004 0.091 0.342 1
Rb2 Rb 0.305 0.570 0.797 1
Rb3 Rb 0.451 0.171 0.893 1
Zn1 Zn 0.325 0.195 0.066 1
B1 B 0.086 0.194 0.112 1
B2 B 0.133 0.535 0.436 1
B3 B 0.183 0.721 0.031 1
B4 B 0.332 0.002 0.550 1
B5 B 0.378 0.614 0.233 1
O1 O 0.015 0.703 0.965 1
O2 O 0.025 0.072 0.137 1
O3 O 0.179 0.091 0.916 1
O4 O 0.230 0.634 0.520 1
O5 O 0.240 0.203 0.166 1
O6 O 0.243 0.614 0.983 1
O7 O 0.247 0.693 0.159 1
O8 O 0.342 0.120 0.496 1
O9 O 0.418 0.509 0.177 1
O10 O 0.461 0.630 0.352 1
```



(6)
Here is a relaxed structure of Re2B2O5 from the Open Quantum Materials Database. Energies are from PBE-GGA.

Results
* crystal system: tetragonal
* energy relative to the lowest polymorph listed for this composition: 0 meV per atom
* total moment: 2.418 μB/f.u.

Geometry as CIF:
```
data_Re2B2O5
_chemical_formula_sum 'Re2 B2 O5'
_cell_length_a 3.137
_cell_length_b 3.137
_cell_length_c 8.612
_cell_angle_alpha 90.00
_cell_angle_beta 90.00
_cell_angle_gamma 90.00
_space_group_name_H-M_alt 'P 4/m m m'
_space_group_IT_number 123
_space_group_name_Hall '-P 4 2'
loop_
_atom_site_label
_atom_site_type_symbol
_atom_site_fract_x
_atom_site_fract_y
_atom_site_fract_z
_atom_site_occupancy
Re1 Re 0.000 0.000 0.000 1
Re2 Re 0.000 0.000 0.500 1
B1 B 0.500 0.500 0.217 1
O1 O 0.000 0.500 0.160 1
O2 O 0.500 0.500 0.500 1
```



(7)
Here is a relaxed structure of Re2B2O5 from the Open Quantum Materials Database. Energies are from PBE-GGA.

Results
* crystal system: tetragonal
* energy relative to the lowest polymorph listed for this composition: 189 meV per atom
* total moment: 0.003 μB/f.u.

Geometry as CIF:
```
data_Re2B2O5
_chemical_formula_sum 'Re2 B2 O5'
_cell_length_a 3.836
_cell_length_b 3.836
_cell_length_c 6.882
_cell_angle_alpha 90.00
_cell_angle_beta 90.00
_cell_angle_gamma 90.00
_space_group_name_H-M_alt 'P 4/m m m'
_space_group_IT_number 123
_space_group_name_Hall '-P 4 2'
loop_
_atom_site_label
_atom_site_type_symbol
_atom_site_fract_x
_atom_site_fract_y
_atom_site_fract_z
_atom_site_occupancy
Re1 Re 0.000 0.000 0.205 1
B1 B 0.500 0.500 0.000 1
B2 B 0.500 0.500 0.500 1
O1 O 0.000 0.000 0.500 1
O2 O 0.000 0.500 0.212 1
```



(8)
Here is a relaxed structure of Sm3BS3O3 from the Open Quantum Materials Database. Energies are from PBE-GGA.

Results
* crystal system: triclinic
* total DFT energy (no corrections): -7.381 eV/atom
* total moment: 0.002 μB/f.u.

Geometry as CIF:
```
data_Sm3BS3O3
_chemical_formula_sum 'Sm6 B2 S6 O6'
_cell_length_a 4.024
_cell_length_b 7.661
_cell_length_c 11.253
_cell_angle_alpha 91.38
_cell_angle_beta 91.10
_cell_angle_gamma 90.45
_space_group_name_H-M_alt 'P -1'
_space_group_IT_number 2
loop_
_space_group_symop_operation_xyz
'x,y,z'
'-x,-y,-z'
loop_
_atom_site_label
_atom_site_type_symbol
_atom_site_fract_x
_atom_site_fract_y
_atom_site_fract_z
_atom_site_occupancy
Sm1 Sm 0.227 0.238 0.006 1
Sm2 Sm 0.230 0.630 0.676 1
Sm3 Sm 0.263 0.139 0.648 1
B1 B 0.390 0.560 0.149 1
S1 S 0.238 0.626 0.418 1
S2 S 0.252 0.940 0.860 1
S3 S 0.253 0.116 0.395 1
O1 O 0.264 0.628 0.045 1
O2 O 0.278 0.402 0.190 1
O3 O 0.324 0.363 0.802 1
```



> What is the formula in the third record?

B3Pt2O